Entry from the Alexandria database: an optimized crystal structure of Rb2CoPbO5 (GGA+U).

```
Rb2CoPbO5
1.0
1.7398 -7.9334 0.0000
1.7398 7.9334 0.0000
0.0000 0.0000 12.7654
Rb Co Pb O
4 2 2 10
Direct
0.0654 0.9346 0.5000
0.1410 0.8590 0.1987
0.8590 0.1410 0.6987
0.9346 0.0654 0.0000
0.4250 0.5750 0.2754
0.5750 0.4250 0.7754
0.2122 0.7878 0.9084
0.7878 0.2122 0.4084
0.0685 0.9315 0.8327
0.3122 0.6878 0.2867
0.3184 0.6816 0.5093
0.3397 0.6603 0.8816
0.4896 0.5104 0.1720
0.5104 0.4896 0.6720
0.6603 0.3397 0.3816
0.6816 0.3184 0.0093
0.6878 0.3122 0.7867
0.9315 0.0685 0.3327
```

Computed properties:
mass density	4.873	g/cm3
energy	-4.937	eV per atom
space group	Cmc2_1 (36)
M_tot	3.0	μB/f.u.